(1)
## SiPtAu2 (GGA-PBE)

Data for SiPtAu2 after structural relaxation.

Properties
Raw formation energy in eV per atom: 0.017
DFT total energy in eV/atom: -4.487

Unit cell a=7.307 b=7.307 c=5.785 alpha=50.84 beta=50.84 gamma=90.00
Element x y z (fractional)
Si: 0.500 0.500 0.000
Si: 0.250 0.750 0.500
Au: 0.588 0.125 0.250
Au: 0.162 0.625 0.250
Au: 0.375 0.412 0.750
Au: 0.875 0.838 0.750
Pt: 0.000 0.000 0.000
Pt: 0.750 0.250 0.500



(2)
## SiPtAu4 (GGA-PBE)

Data for SiPtAu4 after structural relaxation.

Properties
Raw formation energy in eV per atom: 0.437
DFT total energy in eV/atom: -3.658

Unit cell a=5.438 b=5.438 c=5.438 alpha=60.00 beta=60.00 gamma=60.00
Element x y z (fractional)
Si: 0.000 0.000 0.000
Pt: 0.750 0.750 0.750
Au: 0.875 0.375 0.375
Au: 0.375 0.375 0.875
Au: 0.375 0.875 0.375
Au: 0.375 0.375 0.375



(3)
## Si2PtAu (GGA-PBE)

Data for Si2PtAu after structural relaxation.

Properties
Raw formation energy in eV per atom: -0.115
DFT total energy in eV/atom: -5.156

Unit cell a=4.098 b=4.098 c=5.657 alpha=76.71 beta=76.71 gamma=45.45
Element x y z (fractional)
Au: 0.250 0.250 0.250
Pt: 0.750 0.750 0.750
Si: 0.004 0.004 0.969
Si: 0.496 0.496 0.531



(4)
## Si2PtAu (GGA-PBE)

Data for Si2PtAu after structural relaxation.

Properties
Raw formation energy in eV per atom: 0.109
DFT total energy in eV/atom: -4.932

Unit cell a=4.477 b=4.477 c=4.477 alpha=60.00 beta=60.00 gamma=60.00
Element x y z (fractional)
Si: 0.250 0.250 0.250
Si: 0.750 0.750 0.750
Au: 0.500 0.500 0.500
Pt: 0.000 0.000 0.000



(5)
## Si2PtAu (GGA-PBE)

Data for Si2PtAu after structural relaxation.

Properties
Raw formation energy in eV per atom: -0.106
DFT total energy in eV/atom: -5.147

Unit cell a=7.578 b=7.578 c=7.578 alpha=24.37 beta=24.37 gamma=24.37
Element x y z (fractional)
Au: 0.508 0.508 0.508
Pt: 0.737 0.737 0.737
Si: 0.001 0.001 0.001
Si: 0.254 0.254 0.254



(6)
## SiPtAu2 (GGA-PBE)

Data for SiPtAu2 after structural relaxation.

Properties
Raw formation energy in eV per atom: 0.003
DFT total energy in eV/atom: -4.501

Unit cell a=3.803 b=5.527 c=3.820 alpha=69.70 beta=90.21 gamma=110.20
Element x y z (fractional)
Au: 0.000 0.000 0.000
Au: 0.500 0.000 0.500
Pt: 0.000 0.500 0.500
Si: 0.500 0.500 0.000



(7)
## Si2PtAu (GGA-PBE)

Data for Si2PtAu after structural relaxation.

Properties
Raw formation energy in eV per atom: -0.191
DFT total energy in eV/atom: -5.232

Unit cell a=4.762 b=3.384 c=4.336 alpha=77.51 beta=90.00 gamma=90.00
Element x y z (fractional)
Au: 0.000 0.353 0.486
Pt: 0.500 0.998 0.828
Si: 0.000 0.770 0.949
Si: 0.500 0.379 0.237



(8)
## SiPtAu2 (GGA-PBE)

Data for SiPtAu2 after structural relaxation.

Properties
Raw formation energy in eV per atom: 0.083
DFT total energy in eV/atom: -4.422

Unit cell a=2.949 b=4.594 c=4.947 alpha=90.00 beta=90.00 gamma=90.00
Element x y z (fractional)
Au: 0.000 0.000 0.000
Au: 0.500 0.500 0.000
Pt: 0.500 0.000 0.500
Si: 0.000 0.500 0.500



(9)
## SiPtAu2 (GGA-PBE)

Data for SiPtAu2 after structural relaxation.

Properties
Raw formation energy in eV per atom: -0.100
DFT total energy in eV/atom: -4.605

Unit cell a=5.325 b=5.325 c=5.325 alpha=143.41 beta=131.45 gamma=62.30
Element x y z (fractional)
Au: 0.041 0.041 0.000
Au: 0.743 0.243 0.500
Pt: 0.451 0.451 0.000
Si: 0.265 0.765 0.500



(10)
## Si2PtAu2 (GGA-PBE)

Data for Si2PtAu2 after structural relaxation.

Properties
Raw formation energy in eV per atom: -0.124
DFT total energy in eV/atom: -4.812

Unit cell a=6.219 b=6.219 c=4.520 alpha=90.00 beta=90.00 gamma=90.00
Element x y z (fractional)
Si: 0.370 0.870 0.000
Si: 0.870 0.630 0.000
Si: 0.630 0.130 0.000
Si: 0.130 0.370 0.000
Au: 0.251 0.751 0.500
Au: 0.751 0.749 0.500
Au: 0.749 0.249 0.500
Au: 0.249 0.251 0.500
Pt: 0.000 0.000 0.000
Pt: 0.500 0.500 0.000



(11)
## Si2PtAu (GGA-PBE)

Data for Si2PtAu after structural relaxation.

Properties
Raw formation energy in eV per atom: 0.118
DFT total energy in eV/atom: -4.923

Unit cell a=4.952 b=4.952 c=4.952 alpha=133.40 beta=133.40 gamma=68.03
Element x y z (fractional)
Au: 0.500 0.500 0.000
Pt: 0.750 0.250 0.500
Si: 0.000 0.000 0.000
Si: 0.250 0.750 0.500



(12)
## Si2PtAu2 (GGA-PBE)

Data for Si2PtAu2 after structural relaxation.

Properties
Raw formation energy in eV per atom: 0.292
DFT total energy in eV/atom: -4.396

Unit cell a=5.645 b=5.645 c=5.645 alpha=135.05 beta=135.05 gamma=65.45
Element x y z (fractional)
Si: 0.616 0.616 0.000
Si: 0.384 0.384 0.000
Pt: 0.000 0.000 0.000
Au: 0.250 0.750 0.500
Au: 0.750 0.250 0.500



(13)
## Si2Pt2Au (GGA-PBE)

Data for Si2Pt2Au after structural relaxation.

Properties
Raw formation energy in eV per atom: -0.233
DFT total energy in eV/atom: -5.474

Unit cell a=7.226 b=7.226 c=3.014 alpha=90.00 beta=90.00 gamma=90.00
Element x y z (fractional)
Si: 0.156 0.656 0.500
Si: 0.656 0.844 0.500
Si: 0.844 0.344 0.500
Si: 0.344 0.156 0.500
Au: 0.000 0.000 0.000
Au: 0.500 0.500 0.000
Pt: 0.360 0.860 0.000
Pt: 0.860 0.640 0.000
Pt: 0.640 0.140 0.000
Pt: 0.140 0.360 0.000



(14)
## Si2PtAu (GGA-PBE)

Data for Si2PtAu after structural relaxation.

Properties
Raw formation energy in eV per atom: -0.183
DFT total energy in eV/atom: -5.224

Unit cell a=4.086 b=4.454 c=4.343 alpha=104.66 beta=90.00 gamma=90.00
Element x y z (fractional)
Au: 0.500 0.250 0.250
Pt: 0.500 0.750 0.750
Si: 0.000 0.898 0.059
Si: 0.000 0.602 0.441



(15)
## Si2Pt2Au (GGA-PBE)

Data for Si2Pt2Au after structural relaxation.

Properties
Raw formation energy in eV per atom: -0.304
DFT total energy in eV/atom: -5.545

Unit cell a=4.216 b=4.216 c=5.577 alpha=67.79 beta=67.79 gamma=90.00
Element x y z (fractional)
Si: 0.380 0.380 0.241
Si: 0.620 0.620 0.759
Au: 0.000 0.000 0.000
Pt: 0.750 0.250 0.500
Pt: 0.250 0.750 0.500



(16)
## Si2PtAu (GGA-PBE)

Data for Si2PtAu after structural relaxation.

Properties
Raw formation energy in eV per atom: -0.111
DFT total energy in eV/atom: -5.152

Unit cell a=7.566 b=7.566 c=7.566 alpha=24.50 beta=24.50 gamma=24.50
Element x y z (fractional)
Au: 0.250 0.250 0.250
Pt: 0.750 0.750 0.750
Si: 0.005 0.005 0.005
Si: 0.495 0.495 0.495



(17)
## Si2PtAu (GGA-PBE)

Data for Si2PtAu after structural relaxation.

Properties
Raw formation energy in eV per atom: -0.098
DFT total energy in eV/atom: -5.140

Unit cell a=5.806 b=5.806 c=6.451 alpha=63.26 beta=63.26 gamma=90.00
Element x y z (fractional)
Si: 0.607 0.125 0.250
Si: 0.143 0.625 0.250
Si: 0.375 0.393 0.750
Si: 0.875 0.857 0.750
Au: 0.000 0.000 0.000
Au: 0.750 0.250 0.500
Pt: 0.500 0.500 0.000
Pt: 0.250 0.750 0.500



(18)
## SiPtAu2 (GGA-PBE)

Data for SiPtAu2 after structural relaxation.

Properties
Raw formation energy in eV per atom: 0.106
DFT total energy in eV/atom: -4.399

Unit cell a=4.441 b=3.870 c=3.870 alpha=90.00 beta=90.00 gamma=90.00
Element x y z (fractional)
Au: 0.000 0.000 0.000
Au: 0.000 0.500 0.500
Pt: 0.500 0.500 0.000
Si: 0.500 0.000 0.500



(19)
## SiPtAu (GGA-PBE)

Data for SiPtAu after structural relaxation.

Properties
Raw formation energy in eV per atom: -0.191
DFT total energy in eV/atom: -5.105

Unit cell a=3.582 b=3.582 c=4.726 alpha=90.00 beta=90.00 gamma=120.00
Element x y z (fractional)
Au: 0.000 0.000 0.977
Pt: 0.667 0.333 0.387
Si: 0.333 0.667 0.636



(20)
## SiPtAu2 (GGA-PBE)

Data for SiPtAu2 after structural relaxation.

Properties
Raw formation energy in eV per atom: -0.156
DFT total energy in eV/atom: -4.661

Unit cell a=4.331 b=4.331 c=5.399 alpha=64.99 beta=64.99 gamma=51.41
Element x y z (fractional)
Au: 0.962 0.962 0.022
Au: 0.753 0.753 0.720
Pt: 0.554 0.554 0.364
Si: 0.231 0.231 0.394